A plane-wave DFT calculation with GGA-PBE was carried out for SiGeBN2 after structural relaxation.

a b c (Å): 3.5829 5.5762 3.5829
angles (deg): 90.00 90.00 90.00
Atoms (fractional coordinates):
N (0.0000, 0.0000, 0.5000)
N (0.5000, 0.0000, 0.0000)
Si (0.0000, 0.5000, 0.0000)
B (0.5000, 0.5000, 0.5000)
Ge (0.0000, 0.0000, 0.0000)

Output
The density comes out at 3.2 Mg/m³. Its raw formation energy is 1.927 eV per atom. As for the crystal system: tetragonal.